Compound: SmGe2BOs2
Source: Alexandria via LeMat-Bulk
Functional: PBE
Structure: optimized geometry

Structure (extended XYZ):
```
6
Lattice="4.205 0.000 0.000 0.000 4.205 0.000 0.000 0.000 5.522" Properties=species:S:1:pos:R:3 pbc="T T T"
Sm 0.000 0.000 0.000
Ge 2.103 2.103 1.228
Ge 2.103 2.103 4.294
B 0.000 0.000 2.761
Os 0.000 2.103 2.761
Os 2.103 0.000 2.761
```

space-group type	P4/mmm, No. 123

***

Compound: Sm2Ge2BOs2
Source: Alexandria via LeMat-Bulk
Functional: PBE
Structure: optimized geometry

Structure (extended XYZ):
```
7
Lattice="5.583 -2.141 0.000 5.583 2.141 0.000 -4.454 0.000 5.530" Properties=species:S:1:pos:R:3 pbc="T T T"
Sm -0.764 0.000 1.825
Sm 7.476 0.000 3.705
Ge -0.145 0.000 4.909
Ge 6.857 0.000 0.621
B 3.356 0.000 2.765
Os 2.427 0.000 1.028
Os 4.285 0.000 4.502
```

space-group type	C2/m, No. 12

***

Compound: SnGeBOs2
Source: Alexandria via LeMat-Bulk
Functional: PBE
Structure: optimized geometry

Structure (extended XYZ):
```
5
Lattice="4.938 0.000 0.000 0.000 4.938 0.000 0.000 0.000 5.136" Properties=species:S:1:pos:R:3 pbc="T T T"
Sn 0.000 0.000 0.000
Ge 0.000 0.000 2.568
B 2.469 2.469 2.568
Os 0.000 2.469 0.000
Os 2.469 0.000 0.000
```

space-group type	P4/mmm, No. 123

***

Compound: Tb2Ge2BOs2
Source: Alexandria via LeMat-Bulk
Functional: PBE
Structure: optimized geometry

Structure (extended XYZ):
```
7
Lattice="5.528 -2.122 0.000 5.528 2.122 0.000 -4.341 0.000 5.455" Properties=species:S:1:pos:R:3 pbc="T T T"
Tb -0.737 0.000 1.811
Tb 7.453 0.000 3.643
Ge -0.040 0.000 4.843
Ge 6.755 0.000 0.612
B 3.358 0.000 2.727
Os 2.400 0.000 1.014
Os 4.315 0.000 4.441
```

space-group type	C2/m, No. 12

***

Compound: ThGe2BOs2
Source: Alexandria via LeMat-Bulk
Functional: PBE
Structure: optimized geometry

Structure (extended XYZ):
```
6
Lattice="4.223 0.000 0.000 0.000 4.223 0.000 0.000 0.000 5.542" Properties=species:S:1:pos:R:3 pbc="T T T"
Th 0.000 0.000 0.000
Ge 2.111 2.111 1.231
Ge 2.111 2.111 4.312
B 0.000 0.000 2.771
Os 0.000 2.111 2.771
Os 2.111 0.000 2.771
```

space-group type	P4/mmm, No. 123

***

Compound: TlGeB2Os
Source: Alexandria via LeMat-Bulk
Functional: PBE
Structure: optimized geometry

Structure (extended XYZ):
```
5
Lattice="4.115 0.000 0.000 0.000 4.115 0.000 0.000 0.000 5.467" Properties=species:S:1:pos:R:3 pbc="T T T"
Tl 0.000 0.000 0.000
Ge 2.058 2.058 0.000
B 0.000 2.058 2.734
B 2.058 0.000 2.734
Os 0.000 0.000 2.734
```

space-group type	P4/mmm, No. 123

***

Compound: Tm2Ge2BOs2
Source: Alexandria via LeMat-Bulk
Functional: PBE
Structure: optimized geometry

Structure (extended XYZ):
```
7
Lattice="5.472 -2.105 0.000 5.472 2.105 0.000 -4.221 0.000 5.382" Properties=species:S:1:pos:R:3 pbc="T T T"
Tm -0.708 0.000 1.798
Tm 7.431 0.000 3.584
Ge 0.064 0.000 4.774
Ge 6.659 0.000 0.608
B 3.361 0.000 2.691
Os 2.372 0.000 1.004
Os 4.351 0.000 4.378
```

space-group type	C2/m, No. 12

***

Compound: Ge2BP
Source: Alexandria via LeMat-Bulk
Functional: PBE
Structure: optimized geometry

Structure (extended XYZ):
```
8
Lattice="-2.584 2.584 5.131 2.584 -2.584 5.131 2.584 2.584 -5.131" Properties=species:S:1:pos:R:3 pbc="T T T"
Ge 3.876 1.037 -1.283
Ge 1.037 1.292 1.283
Ge -1.292 1.548 3.848
Ge 1.548 1.292 6.413
B 0.000 0.000 0.000
B 0.000 2.584 2.565
P 2.584 0.000 2.565
P 0.000 0.000 5.131
```

space-group type	I-42d, No. 122
polymorph energy (0 for the lowest one)	0.0	kJ/mol of formula units

***

Compound: Ge2BP
Source: Alexandria via LeMat-Bulk
Functional: PBE
Structure: optimized geometry

Structure (extended XYZ):
```
4
Lattice="0.000 3.096 3.096 3.096 0.000 3.096 3.096 3.096 0.000" Properties=species:S:1:pos:R:3 pbc="T T T"
Ge 1.548 1.548 1.548
Ge 4.645 4.645 4.645
B 0.000 0.000 0.000
P 3.096 3.096 3.096
```

space-group type	Fm-3m, No. 225
polymorph energy (0 for the lowest one)	392.3	kJ/mol of formula units

***

Compound: GeB2P
Source: Alexandria via LeMat-Bulk
Functional: PBE
Structure: optimized geometry

Structure (extended XYZ):
```
4
Lattice="0.000 2.823 2.823 2.823 0.000 2.823 2.823 2.823 0.000" Properties=species:S:1:pos:R:3 pbc="T T T"
Ge 0.000 0.000 0.000
B 1.411 1.411 1.411
B 4.234 4.234 4.234
P 2.823 2.823 2.823
```

space-group type	Fm-3m, No. 225
polymorph energy (0 for the lowest one)	523.7	kJ/mol of formula units

***

Compound: GeBP
Source: Alexandria via LeMat-Bulk
Functional: PBE
Structure: optimized geometry

Structure (extended XYZ):
```
18
Lattice="6.185 -2.696 0.000 6.185 2.696 0.000 -5.927 0.000 8.224" Properties=species:S:1:pos:R:3 pbc="T T T"
Ge -0.776 1.320 5.698
Ge 3.221 2.362 4.112
Ge 1.576 1.147 6.515
Ge 2.187 -1.320 1.586
Ge 4.539 -1.147 2.403
Ge 6.185 -2.362 0.000
B 1.468 0.664 1.459
B 4.836 2.189 2.581
B -1.495 -0.664 5.571
B 2.886 0.443 7.958
B 5.850 -0.443 3.846
B 1.873 -2.189 6.693
P 4.852 1.056 0.977
P 5.896 1.446 4.145
P 4.527 0.682 6.917
P 1.889 -1.056 5.089
P 7.490 -0.682 2.805
P 8.860 -1.446 0.033
```

space-group type	Cc, No. 9

***

Compound: GeB2P
Source: Alexandria via LeMat-Bulk
Functional: PBE
Structure: optimized geometry

Structure (extended XYZ):
```
8
Lattice="-2.357 2.357 4.635 2.357 -2.357 4.635 2.357 2.357 -4.635" Properties=species:S:1:pos:R:3 pbc="T T T"
Ge 0.000 0.000 0.000
Ge 0.000 2.357 2.318
B 1.179 -1.055 3.476
B 1.303 1.179 1.159
B 1.179 3.412 -1.159
B 1.055 1.179 5.794
P 2.357 0.000 2.318
P 0.000 0.000 4.635
```

space-group type	I-42d, No. 122
polymorph energy (0 for the lowest one)	0.0	kJ/mol of formula units

***

no.,magnetization (μB per cell),energy of formation from the pure elements (eV/f.u.)
1,0.00,-2.08
2,0.00,-4.36
3,2.08,15.09
4,0.00,-4.45
5,0.00,-2.05
6,0.00,4.83
7,0.00,-4.33
8,0.00,0.07
9,0.00,4.14
10,0.00,5.87
11,0.00,0.78
12,0.00,0.45